5
Lattice="-2.778 1.785 -3.082 -3.307 0.158 3.073 1.494 4.685 1.367" Properties=species:S:1:pos:R:3 comment="LaZr2AgN | Alexandria via LeMat-Bulk | PBE-GGA | relaxed" e_tot_ev_per_fu=-36.05 space_group="P4/mmm, No. 123" total_magnetization_mub_per_fu=0.4 pbc="T T T"
La 0.747 2.343 0.683
Zr -1.389 0.892 -1.541
Ag -2.296 3.314 0.679
N 0.000 0.000 0.000
Zr -1.653 0.079 1.536